# PBE-GGA Cu2H9Pd14, relaxed
# Space group: No. 147
# Calculated volume, Å³/f.u.: 282
# DOS(E_F), states/eV/f.u.: 7.37
# Raw total energy, eV/atom: -4.422
data_Cu2H9Pd14
_space_group_name_H-M_alt 'P 1'
_space_group_IT_number 1
_cell_length_a 7.369
_cell_length_b 7.369
_cell_length_c 6.002
_cell_angle_alpha 90.00
_cell_angle_beta 90.00
_cell_angle_gamma 120.00
loop_
_space_group_symop_operation_xyz
'x,y,z'
loop_
_atom_site_label
_atom_site_type_symbol
_atom_site_fract_x
_atom_site_fract_y
_atom_site_fract_z
Cu1 Cu 0.333 0.667 0.143
Cu2 Cu 0.667 0.333 0.857
H1 H 0.351 0.899 0.364
H2 H 0.101 0.452 0.364
H3 H 0.333 0.667 0.853
H4 H 0.000 0.000 0.000
H5 H 0.452 0.351 0.636
H6 H 0.548 0.649 0.364
H7 H 0.667 0.333 0.147
H8 H 0.899 0.548 0.636
H9 H 0.649 0.101 0.636
Pd1 Pd 0.081 0.693 0.874
Pd2 Pd 0.375 0.068 0.612
Pd3 Pd 0.932 0.307 0.613
Pd4 Pd 0.000 0.000 0.271
Pd5 Pd 0.000 0.000 0.729
Pd6 Pd 0.307 0.388 0.874
Pd7 Pd 0.612 0.919 0.874
Pd8 Pd 0.307 0.375 0.387
Pd9 Pd 0.693 0.625 0.613
Pd10 Pd 0.388 0.081 0.126
Pd11 Pd 0.693 0.612 0.126
Pd12 Pd 0.068 0.693 0.387
Pd13 Pd 0.625 0.932 0.388
Pd14 Pd 0.919 0.307 0.126